Entry 1:
First-principles (GGA-PBE) data for an optimized crystal structure of Li2TaRh, as listed in Alexandria.

```
data_Li2TaRh
_chemical_formula_sum 'Li4 Ta2 Rh2'
_cell_length_a 8.693
_cell_length_b 3.120
_cell_length_c 4.711
_cell_angle_alpha 90.00
_cell_angle_beta 112.04
_cell_angle_gamma 90.00
_symmetry_space_group_name_H-M 'C 1 m 1'
_symmetry_Int_Tables_number 8
loop_
_symmetry_equiv_pos_as_xyz
'x,y,z'
'x,-y,z'
'x+1/2,y+1/2,z'
'x+1/2,-y+1/2,z'
loop_
_atom_site_label
_atom_site_fract_x
_atom_site_fract_y
_atom_site_fract_z
Li1 0.000 0.000 0.000
Li2 0.235 0.500 0.153
Ta1 0.007 0.500 0.498
Rh1 0.259 0.000 0.678
```

Computed properties:
energy above the most stable polymorph in this dataset: 0.045 eV per atom
calculated formation energy: 0.020 eV/atom


Entry 2:
First-principles (GGA-PBE) data for an optimized crystal structure of Li2TaRh, as listed in Alexandria.

```
data_Li2TaRh
_chemical_formula_sum 'Li4 Ta2 Rh2'
_cell_length_a 3.038
_cell_length_b 4.675
_cell_length_c 9.348
_cell_angle_alpha 90.00
_cell_angle_beta 90.00
_cell_angle_gamma 90.00
_symmetry_space_group_name_H-M 'C m m 2'
_symmetry_Int_Tables_number 35
loop_
_symmetry_equiv_pos_as_xyz
'x,y,z'
'-x,-y,z'
'-x,y,z'
'x,-y,z'
'x+1/2,y+1/2,z'
'-x+1/2,-y+1/2,z'
'-x+1/2,y+1/2,z'
'x+1/2,-y+1/2,z'
loop_
_atom_site_label
_atom_site_fract_x
_atom_site_fract_y
_atom_site_fract_z
Li1 0.000 0.000 0.000
Li2 0.000 0.500 0.278
Ta1 0.000 0.500 0.732
Rh1 0.000 0.000 0.500
```

Computed properties:
energy above the most stable polymorph in this dataset: 0.022 eV per atom
calculated formation energy: -0.002 eV/atom


Entry 3:
First-principles (GGA-PBE) data for an optimized crystal structure of Li2TaRh, as listed in Alexandria.

```
data_Li2TaRh
_chemical_formula_sum 'Li2 Ta1 Rh1'
_cell_length_a 2.831
_cell_length_b 4.870
_cell_length_c 4.532
_cell_angle_alpha 90.00
_cell_angle_beta 92.97
_cell_angle_gamma 90.00
_symmetry_space_group_name_H-M 'P 1 2/m 1'
_symmetry_Int_Tables_number 10
loop_
_symmetry_equiv_pos_as_xyz
'x,y,z'
'-x,-y,-z'
'-x,y,-z'
'x,-y,z'
loop_
_atom_site_label
_atom_site_fract_x
_atom_site_fract_y
_atom_site_fract_z
Li1 0.200 0.000 0.266
Ta1 0.500 0.500 0.000
Rh1 0.000 0.500 0.500
```

Computed properties:
energy above the most stable polymorph in this dataset: 0.033 eV per atom
calculated formation energy: 0.008 eV/atom


Entry 4:
First-principles (GGA-PBE) data for an optimized crystal structure of LiTaRh, as listed in Alexandria.

```
data_LiTaRh
_chemical_formula_sum 'Li2 Ta2 Rh2'
_cell_length_a 2.8046
_cell_length_b 2.8046
_cell_length_c 14.0309
_cell_angle_alpha 90.00
_cell_angle_beta 90.00
_cell_angle_gamma 120.00
_symmetry_space_group_name_H-M 'P -6 m 2'
_symmetry_Int_Tables_number 187
_symmetry_space_group_name_Hall 'P -6 2'
loop_
_atom_site_label
_atom_site_fract_x
_atom_site_fract_y
_atom_site_fract_z
Li1 0.0000 0.0000 0.1485
Ta1 0.3333 0.6667 0.3367
Rh1 0.0000 0.0000 0.5000
Rh2 0.3333 0.6667 0.0000
```

Computed properties:
energy above the most stable polymorph in this dataset: 0.153 eV per atom
calculated formation energy: 0.022 eV/atom


Entry 5:
First-principles (GGA-PBE) data for an optimized crystal structure of Li2TaRh, as listed in Alexandria.

```
data_Li2TaRh
_chemical_formula_sum 'Li2 Ta1 Rh1'
_cell_length_a 2.739
_cell_length_b 4.345
_cell_length_c 5.036
_cell_angle_alpha 90.00
_cell_angle_beta 90.00
_cell_angle_gamma 90.00
_symmetry_space_group_name_H-M 'P m m m'
_symmetry_Int_Tables_number 47
loop_
_symmetry_equiv_pos_as_xyz
'x,y,z'
'-x,-y,-z'
'-x,-y,z'
'x,y,-z'
'x,-y,-z'
'-x,y,z'
'-x,y,-z'
'x,-y,z'
loop_
_atom_site_label
_atom_site_fract_x
_atom_site_fract_y
_atom_site_fract_z
Li1 0.000 0.000 0.227
Ta1 0.500 0.500 0.500
Rh1 0.500 0.500 0.000
```

Computed properties:
energy above the most stable polymorph in this dataset: 0.118 eV per atom
calculated formation energy: 0.094 eV/atom


Entry 6:
First-principles (GGA-PBE) data for an optimized crystal structure of LiTaRh, as listed in Alexandria.

```
data_LiTaRh
_chemical_formula_sum 'Li2 Ta2 Rh2'
_cell_length_a 2.871
_cell_length_b 3.759
_cell_length_c 8.206
_cell_angle_alpha 90.00
_cell_angle_beta 90.00
_cell_angle_gamma 90.00
_symmetry_space_group_name_H-M 'I m m 2'
_symmetry_Int_Tables_number 44
loop_
_symmetry_equiv_pos_as_xyz
'x,y,z'
'-x,-y,z'
'-x,y,z'
'x,-y,z'
'x+1/2,y+1/2,z+1/2'
'-x+1/2,-y+1/2,z+1/2'
'-x+1/2,y+1/2,z+1/2'
'x+1/2,-y+1/2,z+1/2'
loop_
_atom_site_label
_atom_site_fract_x
_atom_site_fract_y
_atom_site_fract_z
Li1 0.000 0.000 0.000
Ta1 0.000 0.000 0.321
Rh1 0.000 0.000 0.651
```

Computed properties:
energy above the most stable polymorph in this dataset: 0.000 eV per atom
calculated formation energy: -0.131 eV/atom


Entry 7:
First-principles (GGA-PBE) data for an optimized crystal structure of LiTa3Rh4, as listed in Alexandria.

```
data_LiTa3Rh4
_chemical_formula_sum 'Li2 Ta6 Rh8'
_cell_length_a 4.126
_cell_length_b 4.126
_cell_length_c 14.224
_cell_angle_alpha 90.00
_cell_angle_beta 90.00
_cell_angle_gamma 90.00
_symmetry_space_group_name_H-M 'I 4/m m m'
_symmetry_Int_Tables_number 139
_symmetry_space_group_name_Hall '-I 4 2'
loop_
_atom_site_label
_atom_site_fract_x
_atom_site_fract_y
_atom_site_fract_z
Li1 0.000 0.000 0.000
Ta1 0.000 0.000 0.248
Ta2 0.000 0.000 0.500
Rh1 0.000 0.500 0.116
```

Computed properties:
calculated formation energy: -0.498 eV/atom


Entry 8:
First-principles (GGA-PBE) data for an optimized crystal structure of Li2TaRh, as listed in Alexandria.

```
data_Li2TaRh
_chemical_formula_sum 'Li2 Ta1 Rh1'
_cell_length_a 2.820
_cell_length_b 4.285
_cell_length_c 5.242
_cell_angle_alpha 90.00
_cell_angle_beta 91.52
_cell_angle_gamma 90.00
_symmetry_space_group_name_H-M 'P 1 m 1'
_symmetry_Int_Tables_number 6
loop_
_symmetry_equiv_pos_as_xyz
'x,y,z'
'x,-y,z'
loop_
_atom_site_label
_atom_site_fract_x
_atom_site_fract_y
_atom_site_fract_z
Li1 0.000 0.000 0.000
Li2 0.473 0.500 0.866
Ta1 0.515 0.000 0.479
Rh1 0.004 0.500 0.349
```

Computed properties:
energy above the most stable polymorph in this dataset: 0.006 eV per atom
calculated formation energy: -0.018 eV/atom


What did the second record say?
First-principles (GGA-PBE) data for an optimized crystal structure of Li2TaRh, as listed in Alexandria.

```
data_Li2TaRh
_chemical_formula_sum 'Li4 Ta2 Rh2'
_cell_length_a 3.038
_cell_length_b 4.675
_cell_length_c 9.348
_cell_angle_alpha 90.00
_cell_angle_beta 90.00
_cell_angle_gamma 90.00
_symmetry_space_group_name_H-M 'C m m 2'
_symmetry_Int_Tables_number 35
loop_
_symmetry_equiv_pos_as_xyz
'x,y,z'
'-x,-y,z'
'-x,y,z'
'x,-y,z'
'x+1/2,y+1/2,z'
'-x+1/2,-y+1/2,z'
'-x+1/2,y+1/2,z'
'x+1/2,-y+1/2,z'
loop_
_atom_site_label
_atom_site_fract_x
_atom_site_fract_y
_atom_site_fract_z
Li1 0.000 0.000 0.000
Li2 0.000 0.500 0.278
Ta1 0.000 0.500 0.732
Rh1 0.000 0.000 0.500
```

Computed properties:
energy above the most stable polymorph in this dataset: 0.022 eV per atom
calculated formation energy: -0.002 eV/atom


The highest calculated formation energy belongs to which entry?
number 5


Among the records above, which one has the lowest calculated formation energy?
LiTa3Rh4


What is the calculated formation energy in the first record?
0.020 eV/atom